(1)
Ce6In2TcH: relaxed, PBE.

```
Ce6In2TcH
1.0
0.000 5.033 5.033
5.033 0.000 5.033
5.033 5.033 0.000
Ce In Tc H
6 2 1 1
Cartesian
5.033 5.033 2.367 Ce
5.033 2.367 5.033 Ce
7.700 5.033 5.033 Ce
2.367 5.033 5.033 Ce
5.033 7.700 5.033 Ce
5.033 5.033 7.700 Ce
2.517 2.517 2.517 In
7.550 7.550 7.550 In
5.033 5.033 5.033 Tc
0.000 0.000 0.000 H
```

E_tot (eV per cell): -56.48
Crystal system: cubic
Symmetry: No. 225
Magnetic moment (μB per atom): 0.357



(2)
P2RhNF: relaxed, PBE.

```
P2RhNF
1.0
4.156 0.000 0.000
0.000 4.156 0.000
0.000 0.000 3.950
P Rh N F
2 1 1 1
Cartesian
0.000 2.078 0.000 P
2.078 0.000 0.000 P
0.000 0.000 1.975 Rh
0.000 0.000 0.000 N
2.078 2.078 1.975 F
```

Crystal system: tetragonal
Symmetry: No. 123
Magnetic moment (μB per atom): 0.000
Formation energy (no corrections) (eV/atom): 0.6323



Question: magnetic moment of number 1 (Ce6In2TcH)?
Answer: 0.357 μB per atom



Question: Which of these has the lowest magnetic moment?
Answer: P2RhNF



Question: Look up the magnetic moment of the first one.
Answer: 0.357 μB per atom